[1]
DFT (GGA-PBE) results for an optimized crystal structure of SnHSe2.

Cell lengths 6.3718, 5.3010, 13.4748 Å; angles 90.00, 116.47, 90.00 degrees
Last column: nearest neighbours and their distance in Å.
Sites, in units of the cell vectors:
1 Sn 0.0394 0.2484 0.1054  4 Se 2.71-2.77
2 Sn 0.0394 0.7516 0.6054  4 Se 2.71-2.77
3 Sn 0.9606 0.2484 0.3946  4 Se 2.71-2.77
4 Sn 0.9606 0.7516 0.8946  4 Se 2.71-2.77
5 H 0.3509 0.4779 0.8601  1 Se 1.49
6 H 0.3509 0.5221 0.3601  1 Se 1.49
7 H 0.6491 0.4779 0.6399  1 Se 1.49
8 H 0.6491 0.5221 0.1399  1 Se 1.49
9 Se 0.1692 0.2495 0.6237  3 Sn 2.74-2.77
10 Se 0.1692 0.7505 0.1237  3 Sn 2.74-2.77
11 Se 0.3493 0.2409 0.3608  1 H 1.49
12 Se 0.3493 0.7591 0.8608  1 H 1.49
13 Se 0.6507 0.2409 0.1392  1 H 1.49
14 Se 0.6507 0.7591 0.6392  1 H 1.49
15 Se 0.8308 0.2495 0.8763  3 Sn 2.74-2.77
16 Se 0.8308 0.7505 0.3763  3 Sn 2.74-2.77

Calculated values
The final energy is -3.761 eV/atom. For the density of states at the Fermi level, the calculation gives 1.748 states/eV/f.u. The calculation puts the calculated density at 4.53 g/cm3. The value obtained for the energy above the most stable polymorph in this dataset is 23 meV/atom. As for the symmetry: P2/c. As for the magnetic moment: 0.0 μB per cell.


[2]
DFT (GGA-PBE) results for an optimized crystal structure of GdZrAlCd.

Cell lengths 5.0582, 5.0582, 5.0582 Å; angles 60.00, 60.00, 60.00 degrees
Last column: nearest neighbours and their distance in Å.
Sites, in units of the cell vectors:
1 Gd 0.0000 0.0000 0.0000  4 Cd 3.10, 4 Al 3.10
2 Zr 0.5000 0.5000 0.5000  4 Cd 3.10, 4 Al 3.10
3 Al 0.2500 0.2500 0.2500  4 Gd 3.10, 4 Zr 3.10
4 Cd 0.7500 0.7500 0.7500  4 Zr 3.10, 4 Gd 3.10

Calculated values
The final energy is -7.044 eV/atom. For the density of states at the Fermi level, the calculation gives 1.774 states/eV/f.u. The calculation puts the calculated density at 7.04 g/cm3. As for the symmetry: F-43m. The value obtained for the formation energy is -0.890 eV per formula unit. As for the magnetic moment: 7.1 μB per cell.


Q: What is the formula in the second record?
A: GdZrAlCd